The following is a DFT calculation (PBE) of an optimized crystal structure of PrNiN.

**Raw total energy**: -6.666 eV/atom
**ΔE_f (raw)**: -107 kJ/mol of formula units
**Crystal system**: trigonal

```
PrNiN
1.0
-2.239 0.919 -2.767
1.254 -2.861 -1.965
-2.917 -0.423 2.221
Ni Pr N
1 1 1
Direct
0.166 0.000 0.000 Ni
0.666 0.333 0.667 Pr
0.168 0.667 0.333 N
```